Record 1
5
Lattice="4.7798 0.0000 0.0000 0.0000 4.7798 0.0000 0.0000 0.0000 5.0485" Properties=species:S:1:pos:R:3 comment="VAgAs2W | Alexandria | GGA-PBE | relaxed" dos_at_fermi_per_ev_cell=9.61 e_form_ev_per_atom=2.0783 spacegroup="No. 123" pbc="T T T"
V 0.0000 0.0000 0.0000
Ag 2.3899 2.3899 2.5242
As 0.0000 2.3899 2.5242
As 2.3899 0.0000 2.5242
W 2.3899 2.3899 0.0000

=====

Record 2
4
Lattice="0.0000 3.8729 3.8729 3.8729 0.0000 3.8729 3.8729 3.8729 0.0000" Properties=species:S:1:pos:R:3 comment="SrBePb2 | Alexandria | GGA-PBE | relaxed" dos_at_fermi_per_ev_cell=1.16 e_form_ev_per_atom=0.2359 spacegroup="No. 216" pbc="T T T"
Sr 0.0000 0.0000 0.0000
Be 5.8094 5.8094 5.8094
Pb 1.9365 1.9365 1.9365
Pb 3.8729 3.8729 3.8729

=====

Record 3
10
Lattice="6.5977 0.0000 0.0000 0.0000 6.5977 0.0000 0.0000 0.0000 4.3600" Properties=species:S:1:pos:R:3 comment="Mg2GaW2 | Alexandria | GGA-PBE | relaxed" dos_at_fermi_per_ev_cell=8.16 relative_energy_ev_per_atom=0.0000 e_form_ev_per_atom=0.5097 spacegroup="No. 127" pbc="T T T"
Mg 1.0630 2.2359 0.0000
Mg 2.2359 5.5348 0.0000
Mg 4.3618 1.0630 0.0000
Mg 5.5348 4.3618 0.0000
Ga 0.0000 0.0000 2.1800
Ga 3.2989 3.2989 2.1800
W 0.8762 4.1750 2.1800
W 2.4227 0.8762 2.1800
W 4.1750 5.7216 2.1800
W 5.7216 2.4227 2.1800

=====

Record 4
4
Lattice="-2.1939 2.1939 3.6832 2.1939 -2.1939 3.6832 2.1939 2.1939 -3.6832" Properties=species:S:1:pos:R:3 comment="W2AuBr | Alexandria | GGA-PBE | relaxed" dos_at_fermi_per_ev_cell=4.13 relative_energy_ev_per_atom=0.7146 formation_energy_uncorrected_ev_per_atom=1.265 spacegroup="No. 119" pbc="T T T"
W 0.0000 0.0000 0.0000
W 0.0000 2.1939 1.8416
Au 2.1939 0.0000 1.8416
Br 0.0000 0.0000 3.6832

=====

Record 5
10
Lattice="7.6844 0.0000 0.0000 -3.8397 6.6585 0.0000 -0.0036 -4.4286 6.4979" Properties=species:S:1:pos:R:3 comment="Tl2InPbCl6 | Alexandria | GGA-PBE | relaxed" dos_at_fermi_per_ev_cell=4.04 formation_energy_uncorrected_ev_per_atom=-1.014 spacegroup="No. 1" pbc="T T T"
Tl 0.0000 0.0000 0.0000
Tl -0.0052 4.4433 3.2400
In -0.0067 0.0084 4.2038
Pb 3.8385 2.2224 0.9599
Cl -3.1881 4.5747 2.4688
Cl -0.6582 2.2441 5.6519
Cl 1.4758 1.6193 2.4729
Cl 2.2474 -0.5446 5.6528
Cl 5.5426 0.4890 2.4819
Cl 6.0717 -1.6750 5.6506

=====

Record 6
11
Lattice="-2.4149 3.8328 7.8233 2.4149 -3.8328 7.8233 2.4149 3.8328 -7.8233" Properties=species:S:1:pos:R:3 comment="Tb3Ho4Au4 | Alexandria | GGA-PBE | relaxed" dos_at_fermi_per_ev_cell=8.59 e_form_ev_per_atom=-0.5689 spacegroup="No. 71" pbc="T T T"
Tb 0.0000 0.0000 0.0000
Tb 2.4149 0.0000 6.2187
Tb 0.0000 3.8328 1.6046
Ho 2.4149 1.6475 -2.7022
Ho 2.4149 1.6475 2.7022
Ho 0.0000 2.1854 5.1211
Ho 0.0000 2.1854 10.5255
Au 0.0000 0.0000 3.1978
Au 2.4149 2.3857 0.0000
Au 0.0000 1.4471 7.8233
Au 0.0000 0.0000 12.4488

=====

Record 7
20
Lattice="5.2666 0.0000 0.0000 0.0000 5.2736 0.0000 -5.2498 0.0000 7.5779" Properties=species:S:1:pos:R:3 comment="Li2ZnIO6 | Alexandria | GGA-PBE | relaxed" dos_at_fermi_per_ev_cell=11.96 formation_energy_uncorrected_ev_per_atom=-0.966 spacegroup="No. 14" pbc="T T T"
Li -0.0895 0.1837 1.9866
Li -2.7144 2.4531 5.7755
Li 2.7313 2.8206 1.8024
Li 0.1064 5.0899 5.5913
Zn 2.6333 0.0000 0.0000
Zn 0.0084 2.6368 3.7889
I -2.6249 0.0000 3.7889
I 0.0000 2.6368 0.0000
O -3.2122 0.3841 5.5561
O -0.5873 2.2528 1.7671
O -1.8417 3.6309 4.3297
O 0.7832 4.2795 0.5408
O -0.9630 0.8487 4.1660
O 1.6619 1.7881 0.3770
O -1.6450 3.4856 7.2008
O 0.9799 4.4249 3.4119
O -0.7664 0.9941 7.0371
O 1.8585 1.6427 3.2482
O 0.6042 3.0209 5.8107
O 3.2291 4.8896 2.0218

=====

Record 8
4
Lattice="1.8526 -2.3202 0.0000 1.8526 2.3202 0.0000 0.0000 0.0000 9.3315" Properties=species:S:1:pos:R:3 comment="PtAuSe2 | Alexandria | GGA-PBE | relaxed" dos_at_fermi_per_ev_cell=1.81 formation_energy_uncorrected_ev_per_atom=0.223 spacegroup="No. 35" pbc="T T T"
Pt 0.0000 0.0000 0.0000
Au 1.8526 0.0000 7.2497
Se 0.0000 0.0000 5.0643
Se 1.8526 0.0000 1.7544

=====

Record 9
5
Lattice="4.8398 0.0000 0.0000 0.0000 4.8398 0.0000 0.0000 0.0000 4.8398" Properties=species:S:1:pos:R:3 comment="Ti3ReSn | Alexandria | GGA-PBE | relaxed" dos_at_fermi_per_ev_cell=8.81 relative_energy_ev_per_atom=1.2227 e_form_ev_per_atom=1.6539 spacegroup="No. 221" pbc="T T T"
Ti 0.0000 0.0000 2.4199
Ti 0.0000 2.4199 0.0000
Ti 2.4199 0.0000 0.0000
Re 2.4199 2.4199 2.4199
Sn 0.0000 0.0000 0.0000

=====

Record 10
10
Lattice="4.0380 0.0000 0.0000 0.0000 4.0380 0.0000 0.0000 0.0000 9.9419" Properties=species:S:1:pos:R:3 comment="Tm2Ni3Ge4Ir | Alexandria | GGA-PBE | relaxed" dos_at_fermi_per_ev_cell=4.81 e_form_ev_per_atom=-0.6879 spacegroup="No. 115" pbc="T T T"
Tm 0.0000 2.0190 2.4305
Tm 2.0190 0.0000 7.5114
Ni 0.0000 2.0190 8.6863
Ni 2.0190 0.0000 1.2556
Ni 2.0190 2.0190 4.9709
Ge 0.0000 0.0000 0.0000
Ge 0.0000 2.0190 6.3867
Ge 2.0190 0.0000 3.5552
Ge 2.0190 2.0190 0.0000
Ir 0.0000 0.0000 4.9709

=====

Record 11
17
Lattice="-5.0017 5.0017 5.0017 5.0017 -5.0017 5.0017 5.0017 5.0017 -5.0017" Properties=species:S:1:pos:R:3 comment="Tm6Mg4Pb7 | Alexandria | GGA-PBE | relaxed" dos_at_fermi_per_ev_cell=20.81 e_form_ev_per_atom=-0.0173 spacegroup="No. 229" pbc="T T T"
Tm 2.9588 0.0000 0.0000
Tm 7.0445 0.0000 0.0000
Tm 0.0000 2.9588 0.0000
Tm 0.0000 0.0000 2.9588
Tm 0.0000 7.0445 0.0000
Tm 0.0000 0.0000 7.0445
Mg 2.5008 2.5008 -2.5008
Mg 2.5008 -2.5008 2.5008
Mg -2.5008 2.5008 2.5008
Mg 2.5008 2.5008 2.5008
Pb 0.0000 0.0000 0.0000
Pb 5.0017 2.5008 0.0000
Pb 5.0017 0.0000 2.5008
Pb 2.5008 5.0017 0.0000
Pb 2.5008 0.0000 5.0017
Pb 0.0000 5.0017 2.5008
Pb 0.0000 2.5008 5.0017

=====

Record 12
16
Lattice="7.5992 0.0000 0.0000 0.0000 9.5216 0.0000 0.0000 0.0000 6.5774" Properties=species:S:1:pos:R:3 comment="CaPr2Os | Alexandria | GGA-PBE | relaxed" dos_at_fermi_per_ev_cell=12.94 relative_energy_ev_per_atom=0.0000 e_form_ev_per_atom=-0.0098 spacegroup="No. 62" pbc="T T T"
Ca 0.3340 2.3804 0.8909
Ca 3.4657 7.1412 4.1797
Ca 4.1336 2.3804 2.3978
Ca 7.2653 7.1412 5.6865
Pr 1.3092 0.6071 4.4153
Pr 1.3092 4.1537 4.4153
Pr 2.4904 5.3678 1.1266
Pr 2.4904 8.9145 1.1266
Pr 5.1088 0.6071 5.4508
Pr 5.1088 4.1537 5.4508
Pr 6.2900 5.3678 2.1621
Pr 6.2900 8.9145 2.1621
Os 0.7968 7.1412 2.8869
Os 3.0028 2.3804 6.1756
Os 4.5964 7.1412 0.4018
Os 6.8025 2.3804 3.6905

=====

Record 13
13
Lattice="4.0680 -7.0531 0.0000 4.0680 7.0531 0.0000 0.0000 0.0000 9.6078" Properties=species:S:1:pos:R:3 comment="Ac6PmPb6 | Alexandria | GGA-PBE | relaxed" dos_at_fermi_per_ev_cell=14.85 e_form_ev_per_atom=-0.2224 spacegroup="No. 65" pbc="T T T"
Ac 0.0000 0.0000 2.3620
Ac 0.0000 0.0000 7.2458
Ac 2.0340 3.5265 2.3632
Ac 2.0340 3.5265 7.2446
Ac 2.0340 -3.5265 2.3632
Ac 2.0340 -3.5265 7.2446
Pm 4.0680 0.0000 4.8039
Pb 4.0680 4.7049 4.8039
Pb 4.0680 4.7026 0.0000
Pb 4.0680 0.0000 1.5998
Pb 4.0680 0.0000 8.0080
Pb 4.0680 -4.7026 0.0000
Pb 4.0680 -4.7049 4.8039

=====

Record 14
4
Lattice="0.0000 3.5347 3.5347 3.5347 0.0000 3.5347 3.5347 3.5347 0.0000" Properties=species:S:1:pos:R:3 comment="LiTbPmNi | Alexandria | GGA-PBE | relaxed" dos_at_fermi_per_ev_cell=3.33 e_form_ev_per_atom=-0.0908 spacegroup="No. 216" pbc="T T T"
Li 0.0000 0.0000 0.0000
Tb 5.3020 5.3020 5.3020
Pm 1.7673 1.7673 1.7673
Ni 3.5347 3.5347 3.5347

=====

Record 15
4
Lattice="-1.6701 2.3250 4.2530 1.6701 -2.3250 4.2530 1.6701 2.3250 -4.2530" Properties=species:S:1:pos:R:3 comment="Ta2CuSe | Alexandria | GGA-PBE | relaxed" dos_at_fermi_per_ev_cell=2.42 formation_energy_uncorrected_ev_per_atom=0.144 spacegroup="No. 71" pbc="T T T"
Ta 0.0000 0.0000 2.0616
Ta 0.0000 0.0000 6.4444
Cu 0.0000 2.3250 0.0000
Se 1.6701 0.0000 0.0000

=====

Record 16
4
Lattice="4.6136 -1.4912 0.0000 4.6136 1.4912 0.0000 -0.0017 0.0000 4.4928" Properties=species:S:1:pos:R:3 comment="Cr2RuBr | Alexandria | GGA-PBE | relaxed" dos_at_fermi_per_ev_cell=3.63 relative_energy_ev_per_atom=0.2918 formation_energy_uncorrected_ev_per_atom=0.761 spacegroup="No. 12" pbc="T T T"
Cr 2.1164 0.0000 1.4845
Cr 7.1090 0.0000 3.0082
Ru 4.6127 0.0000 2.2464
Br 0.0000 0.0000 0.0000

=====

Record 17
12
Lattice="5.3193 0.0000 0.0000 0.0000 7.9692 0.0000 -2.6521 0.0000 9.4631" Properties=species:S:1:pos:R:3 comment="YN2Cl3 | Alexandria | GGA-PBE | relaxed" dos_at_fermi_per_ev_cell=0.00 formation_energy_uncorrected_ev_per_atom=0.229 spacegroup="No. 11" pbc="T T T"
Y 5.3188 1.9923 0.0002
Y -2.6515 5.9769 9.4629
N -0.0026 1.9923 6.0198
N 0.0125 5.9769 6.0195
N 2.6547 1.9923 3.4436
N 2.6699 5.9769 3.4433
Cl -0.0002 7.9685 1.7696
Cl -0.0002 3.9853 1.7696
Cl 2.6594 1.9923 0.0005
Cl 0.0078 5.9769 9.4626
Cl 2.6674 0.0007 7.6935
Cl 2.6674 3.9839 7.6935

=====

Record 18
6
Lattice="-2.1395 3.3977 3.6535 2.1395 -3.3977 3.6535 2.1395 3.3977 -3.6535" Properties=species:S:1:pos:R:3 comment="YTmCu4 | Alexandria | GGA-PBE | relaxed" dos_at_fermi_per_ev_cell=2.91 relative_energy_ev_per_atom=0.0000 e_form_ev_per_atom=-0.2792 spacegroup="No. 44" pbc="T T T"
Y 0.0000 0.0000 0.0000
Tm 2.1395 0.0000 2.9958
Cu 2.1395 2.0624 0.8613
Cu 0.0000 2.0488 2.1102
Cu 0.0000 1.3354 4.5148
Cu 0.0000 4.7467 2.1102

=====

Record 19
8
Lattice="5.7974 0.0000 0.0000 0.0000 3.3363 0.0000 -1.8995 0.0000 5.4846" Properties=species:S:1:pos:R:3 comment="DyHo2TaN4 | Alexandria | GGA-PBE | relaxed" dos_at_fermi_per_ev_cell=1.95 formation_energy_uncorrected_ev_per_atom=-1.560 spacegroup="No. 10" pbc="T T T"
Dy 0.0000 0.0000 0.0000
Ho 1.9489 0.0000 2.7423
Ho 2.8987 1.6682 0.0000
Ta -0.9498 1.6682 2.7423
N -0.0520 0.0000 3.9955
N 0.8650 1.6682 1.4594
N 3.0329 1.6682 4.0253
N 3.9499 0.0000 1.4891

=====

Record 20
4
Lattice="0.0000 3.8699 3.8699 3.8699 0.0000 3.8699 3.8699 3.8699 0.0000" Properties=species:S:1:pos:R:3 comment="DyPuBiPb | Alexandria | GGA-PBE | relaxed" dos_at_fermi_per_ev_cell=13.56 e_form_ev_per_atom=-0.3079 spacegroup="No. 216" pbc="T T T"
Dy 0.0000 0.0000 0.0000
Pu 3.8699 3.8699 3.8699
Bi 1.9350 1.9350 1.9350
Pb 5.8049 5.8049 5.8049

=====

Record 21
6
Lattice="4.1629 0.0000 0.0000 -2.0814 3.6052 0.0000 0.0000 0.0000 5.8022" Properties=species:S:1:pos:R:3 comment="P2Rh | Alexandria | GGA-PBE | relaxed" dos_at_fermi_per_ev_cell=4.63 e_form_ev_per_atom=0.2666 spacegroup="No. 194" pbc="T T T"
P 0.0000 2.4034 0.3453
P 0.0000 2.4034 2.5558
P 2.0814 1.2017 3.2464
P 2.0814 1.2017 5.4569
Rh 0.0000 0.0000 1.4505
Rh 0.0000 0.0000 4.3516

=====

Record 22
10
Lattice="4.0152 0.0000 0.0000 0.0000 4.0152 0.0000 0.0000 0.0000 10.1319" Properties=species:S:1:pos:R:3 comment="Y2TiNi4Ge3 | Alexandria | GGA-PBE | relaxed" dos_at_fermi_per_ev_cell=10.23 e_form_ev_per_atom=-0.6689 spacegroup="No. 115" pbc="T T T"
Y 0.0000 2.0076 2.4148
Y 2.0076 0.0000 7.7171
Ti 0.0000 0.0000 5.0659
Ni 0.0000 0.0000 0.0000
Ni 0.0000 2.0076 6.4724
Ni 2.0076 0.0000 3.6595
Ni 2.0076 2.0076 0.0000
Ge 0.0000 2.0076 8.8193
Ge 2.0076 0.0000 1.3126
Ge 2.0076 2.0076 5.0659

=====

Record 23
5
Lattice="5.0269 0.0000 0.0000 0.0000 5.0269 0.0000 0.0000 0.0000 5.0269" Properties=species:S:1:pos:R:3 comment="GaAg3Br | Alexandria | GGA-PBE | relaxed" dos_at_fermi_per_ev_cell=6.14 relative_energy_ev_per_atom=0.0000 formation_energy_uncorrected_ev_per_atom=0.418 spacegroup="No. 221" pbc="T T T"
Ga 0.0000 0.0000 0.0000
Ag 0.0000 0.0000 2.5134
Ag 0.0000 2.5134 0.0000
Ag 2.5134 0.0000 0.0000
Br 2.5134 2.5134 2.5134

=====

Record 24
5
Lattice="3.6271 -2.0992 0.0000 3.6271 2.0992 0.0000 -2.4275 0.0000 7.6141" Properties=species:S:1:pos:R:3 comment="Sm2Ga2Cl | Alexandria | GGA-PBE | relaxed" dos_at_fermi_per_ev_cell=1.62 formation_energy_uncorrected_ev_per_atom=-1.010 spacegroup="No. 12" pbc="T T T"
Sm 0.0011 0.0000 2.0190
Sm 4.8257 0.0000 5.5950
Ga -0.0105 0.0000 7.3718
Ga 4.8373 0.0000 0.2423
Cl 2.4134 0.0000 3.8070